# KMo5O13

KMo5O13 after structural relaxation (GGA-PBEsol, Alexandria).

Lattice parameters (Å, degrees): 5.535 5.535 16.677 90.00 90.00 106.77
Fractional coordinates of all 38 atoms:
O (0.564, 0.436, 0.863)
Mo (0.228, 0.772, 0.362)
O (0.779, 0.221, 0.989)
O (0.221, 0.779, 0.011)
Mo (0.614, 0.386, 0.075)
O (0.007, 0.993, 0.389)
O (0.210, 0.790, 0.250)
O (0.084, 0.494, 0.872)
Mo (0.228, 0.772, 0.138)
O (0.506, 0.916, 0.872)
Mo (0.386, 0.614, 0.925)
Mo (0.000, 0.000, 0.000)
O (0.790, 0.210, 0.750)
O (0.693, 0.693, 0.000)
Mo (0.000, 0.000, 0.500)
K (0.857, 0.143, 0.250)
O (0.494, 0.084, 0.128)
O (0.993, 0.007, 0.611)
O (0.693, 0.693, 0.500)
O (0.436, 0.564, 0.363)
O (0.494, 0.084, 0.372)
Mo (0.772, 0.228, 0.638)
Mo (0.386, 0.614, 0.575)
O (0.307, 0.307, 0.000)
O (0.084, 0.494, 0.628)
O (0.506, 0.916, 0.628)
O (0.993, 0.007, 0.889)
Mo (0.772, 0.228, 0.862)
O (0.916, 0.506, 0.372)
K (0.143, 0.857, 0.750)
O (0.779, 0.221, 0.511)
Mo (0.614, 0.386, 0.425)
O (0.436, 0.564, 0.137)
O (0.916, 0.506, 0.128)
O (0.564, 0.436, 0.637)
O (0.221, 0.779, 0.489)
O (0.307, 0.307, 0.500)
O (0.007, 0.993, 0.111)

**Space-group type**: No. 63
**Size of the total moment**: 0.000 μB/atom
**Density**: 4.9 Mg/m³
**V**: 489.1 Å³ per cell
**Raw formation energy**: -2003 meV per atom